(1)
# Sm4Mg3Cu PBE-GGA optimized geometry
data_Sm4Mg3Cu
_chemical_formula_sum 'Sm4 Mg3 Cu1'
_cell_length_a 3.736
_cell_length_b 3.736
_cell_length_c 15.360
_cell_angle_alpha 90.00
_cell_angle_beta 90.00
_cell_angle_gamma 90.00
_space_group_name_H-M_alt 'P 1'
_space_group_IT_number 1
loop_
_space_group_symop_operation_xyz
'x,y,z'
loop_
_atom_site_label
_atom_site_type_symbol
_atom_site_fract_x
_atom_site_fract_y
_atom_site_fract_z
Mg1 Mg 0.500 0.500 0.242
Mg2 Mg 0.500 0.500 0.500
Mg3 Mg 0.500 0.500 0.758
Cu1 Cu 0.500 0.500 0.000
Sm1 Sm 0.000 0.000 0.891
Sm2 Sm 0.000 0.000 0.109
Sm3 Sm 0.000 0.000 0.369
Sm4 Sm 0.000 0.000 0.631
# ΔE_f = -0.10 eV per atom
# DOS(E_F) = 9.04 states/eV per cell
# final energy = -3.572 eV per atom
# space group = P4/mmm, No. 123
# calculated density = 5.714 g cm⁻³


(2)
# KY2FeSi PBE-GGA optimized geometry
data_KY2FeSi
_chemical_formula_sum 'K1 Y2 Fe1 Si1'
_cell_length_a 5.155
_cell_length_b 5.155
_cell_length_c 4.919
_cell_angle_alpha 90.00
_cell_angle_beta 90.00
_cell_angle_gamma 90.00
_space_group_name_H-M_alt 'P 1'
_space_group_IT_number 1
loop_
_space_group_symop_operation_xyz
'x,y,z'
loop_
_atom_site_label
_atom_site_type_symbol
_atom_site_fract_x
_atom_site_fract_y
_atom_site_fract_z
Y1 Y 0.000 0.500 0.000
Y2 Y 0.500 0.000 0.000
K1 K 0.000 0.000 0.500
Si1 Si 0.500 0.500 0.500
Fe1 Fe 0.000 0.000 0.000
# DOS(E_F) = 5.28 states/eV per cell
# final energy = -4.873 eV per atom
# space group = P4/mmm, No. 123
# calculated density = 3.822 g cm⁻³
# formation energy (no corrections) = 0.709 eV/atom


(3)
# BaLa3Ir PBE-GGA optimized geometry
data_BaLa3Ir
_chemical_formula_sum 'Ba2 La6 Ir2'
_cell_length_a 6.837
_cell_length_b 8.672
_cell_length_c 8.415
_cell_angle_alpha 90.00
_cell_angle_beta 127.95
_cell_angle_gamma 90.00
_space_group_name_H-M_alt 'P 1'
_space_group_IT_number 1
loop_
_space_group_symop_operation_xyz
'x,y,z'
loop_
_atom_site_label
_atom_site_type_symbol
_atom_site_fract_x
_atom_site_fract_y
_atom_site_fract_z
Ir1 Ir 0.032 0.250 0.016
Ir2 Ir 0.968 0.750 0.984
Ba1 Ba 0.429 0.250 0.716
Ba2 Ba 0.571 0.750 0.284
La1 La 0.998 0.500 0.782
La2 La 0.002 0.500 0.218
La3 La 0.998 0.000 0.782
La4 La 0.002 0.000 0.218
La5 La 0.553 0.250 0.276
La6 La 0.447 0.750 0.724
# ΔE_f = -0.28 eV per atom
# DOS(E_F) = 21.02 states/eV per cell
# final energy = -5.393 eV per atom
# space group = P2_1/m, No. 11
# calculated density = 6.300 g cm⁻³
# E above lowest polymorph = 39 meV/atom


(4)
# LiMn3 PBE-GGA optimized geometry
data_LiMn3
_chemical_formula_sum 'Li1 Mn3'
_cell_length_a 2.565
_cell_length_b 4.206
_cell_length_c 4.482
_cell_angle_alpha 90.00
_cell_angle_beta 90.00
_cell_angle_gamma 90.00
_space_group_name_H-M_alt 'P 1'
_space_group_IT_number 1
loop_
_space_group_symop_operation_xyz
'x,y,z'
loop_
_atom_site_label
_atom_site_type_symbol
_atom_site_fract_x
_atom_site_fract_y
_atom_site_fract_z
Li1 Li 0.000 0.000 0.024
Mn1 Mn 0.500 0.000 0.523
Mn2 Mn 0.500 0.500 0.807
Mn3 Mn 0.000 0.500 0.313
# ΔE_f = 0.32 eV per atom
# DOS(E_F) = 3.10 states/eV per cell
# final energy = -7.031 eV per atom
# space group = Pmm2, No. 25
# calculated density = 5.899 g cm⁻³